Record 1
The following is a DFT calculation (meta-GGA SCAN) of a crystal of AlZn3F relaxed with PBEsol.

Calculated values
For the density of states at the Fermi level, the calculation gives 2.02 states/eV per cell. Its uncorrected formation energy is -64 meV per atom. The calculation puts the calculated density at 4.98 Mg/m³. The calculation puts the total energy at -10.432 eV per atom.

Cell and atoms, written as POSCAR:
```
AlZn3F
1.0
4.323 0.000 0.000
0.000 4.323 0.000
0.000 0.000 4.323
Al Zn F
1 3 1
direct
0.000 0.000 0.000
0.000 0.500 0.500
0.500 0.000 0.500
0.500 0.500 0.000
0.500 0.500 0.500
```

***

Record 2
The following is a DFT calculation (meta-GGA SCAN) of a crystal of Y2ZnMo relaxed with PBEsol.

Calculated values
For the density of states at the Fermi level, the calculation gives 3.95 states/eV per cell. The calculation puts the formation energy at 160 kJ/mol of formula units. The calculation puts the calculated density at 6.64 Mg/m³. The calculation puts the total energy at -25.608 eV per atom.

Cell and atoms, written as POSCAR:
```
Y2ZnMo
1.0
4.799 -1.592 0.000
4.799 1.592 0.000
-1.148 0.000 5.553
Y Zn Mo
2 1 1
direct
0.248 0.248 0.251
0.752 0.752 0.749
0.500 0.500 0.000
0.000 0.000 0.500
```

***

Record 3
The following is a DFT calculation (meta-GGA SCAN) of a crystal of CuSbIr2 relaxed with PBEsol.

Calculated values
For the density of states at the Fermi level, the calculation gives 3.22 states/eV per cell. Its uncorrected formation energy is 372 meV per atom. The calculation puts the calculated density at 15.37 Mg/m³. The calculation puts the total energy at -48.293 eV per atom.

Cell and atoms, written as POSCAR:
```
CuSbIr2
1.0
3.345 0.000 0.000
0.000 3.345 0.000
0.000 0.000 5.501
Cu Sb Ir
1 1 2
direct
0.000 0.000 0.000
0.500 0.500 0.712
0.000 0.000 0.480
0.500 0.500 0.190
```

***

Record 4
The following is a DFT calculation (meta-GGA SCAN) of a crystal of ZrCdAs2N relaxed with PBEsol.

Calculated values
For the density of states at the Fermi level, the calculation gives 2.90 states/eV per cell. Its uncorrected formation energy is 412 meV per atom. The calculation puts the calculated density at 7.18 Mg/m³. The calculation puts the total energy at -21.745 eV per atom.

Cell and atoms, written as POSCAR:
```
ZrCdAs2N
1.0
4.513 0.000 0.000
0.000 4.513 0.000
0.000 0.000 4.171
Zr Cd As N
1 1 2 1
direct
0.000 0.000 0.000
0.500 0.500 0.000
0.000 0.500 0.500
0.500 0.000 0.500
0.500 0.500 0.500
```

***

Record 5
The following is a DFT calculation (meta-GGA SCAN) of a crystal of FeMoPt2 relaxed with PBEsol.

Calculated values
For the density of states at the Fermi level, the calculation gives 1.75 states/eV per cell. The calculation puts the formation energy at -138 kJ/mol of formula units. The calculation puts the calculated density at 15.85 Mg/m³. The calculation puts the total energy at -48.708 eV per atom.

Cell and atoms, written as POSCAR:
```
FeMoPt2
1.0
2.692 -3.926 0.000
2.692 3.926 0.000
0.000 0.000 2.686
Fe Mo Pt
1 1 2
direct
0.000 0.000 0.000
0.500 0.500 0.000
0.000 0.500 0.500
0.500 0.000 0.500
```

***

Record 6
The following is a DFT calculation (meta-GGA SCAN) of a crystal of AlAu3Cl relaxed with PBEsol.

Calculated values
For the density of states at the Fermi level, the calculation gives 5.13 states/eV per cell. Its uncorrected formation energy is 343 meV per atom. The energy above the most stable polymorph in this dataset comes out at 0.00 kcal/mol of atoms. The calculation puts the calculated density at 9.79 Mg/m³. The calculation puts the total energy at -44.297 eV per atom.

Cell and atoms, written as POSCAR:
```
AlAu3Cl
1.0
4.803 0.000 0.000
0.000 4.803 0.000
0.000 0.000 4.803
Al Au Cl
1 3 1
direct
0.000 0.000 0.000
0.000 0.000 0.500
0.000 0.500 0.000
0.500 0.000 0.000
0.500 0.500 0.500
```

***

Record 7
The following is a DFT calculation (meta-GGA SCAN) of a crystal of CaZn2Cu relaxed with PBEsol.

Calculated values
For the density of states at the Fermi level, the calculation gives 1.60 states/eV per cell. The calculation puts the formation energy at -96 kJ/mol of formula units. The calculation puts the calculated density at 5.08 Mg/m³. The calculation puts the total energy at -13.223 eV per atom.

Cell and atoms, written as POSCAR:
```
CaZn2Cu
1.0
2.108 1.217 4.978
-2.108 1.217 4.978
0.000 -2.434 4.978
Ca Zn Cu
1 2 1
direct
0.000 0.000 0.000
0.514 0.514 0.514
0.804 0.804 0.804
0.194 0.194 0.194
```

***

Record 8
The following is a DFT calculation (meta-GGA SCAN) of a crystal of SrCaZn relaxed with PBEsol.

Calculated values
For the density of states at the Fermi level, the calculation gives 2.06 states/eV per cell. The energy above the most stable polymorph in this dataset comes out at 2.82 kcal/mol of atoms. The calculation puts the formation energy at -13 kJ/mol of formula units. The calculation puts the calculated density at 2.92 Mg/m³. The calculation puts the total energy at -15.197 eV per atom.

Cell and atoms, written as POSCAR:
```
SrCaZn
1.0
4.216 0.000 0.000
-2.108 3.652 0.000
0.000 0.000 7.122
Sr Ca Zn
1 1 1
direct
0.000 0.000 0.000
0.667 0.333 0.472
0.333 0.667 0.717
```

***

Record 9
The following is a DFT calculation (meta-GGA SCAN) of a crystal of Ca4CoPb relaxed with PBEsol.

Calculated values
For the density of states at the Fermi level, the calculation gives 4.41 states/eV per cell. The calculation puts the formation energy at 346 kJ/mol of formula units. The calculation puts the calculated density at 4.05 Mg/m³. The calculation puts the total energy at -21.358 eV per atom.

Cell and atoms, written as POSCAR:
```
Ca4CoPb
1.0
0.000 4.437 4.437
4.437 0.000 4.437
4.437 4.437 0.000
Ca Co Pb
4 1 1
direct
0.125 0.125 0.125
0.125 0.125 0.624
0.125 0.624 0.125
0.624 0.125 0.125
0.500 0.500 0.500
0.750 0.750 0.750
```

***

Record 10
The following is a DFT calculation (meta-GGA SCAN) of a crystal of Ca3Fe2W2O12 relaxed with PBEsol.

Calculated values
For the density of states at the Fermi level, the calculation gives 5.01 states/eV per cell. Its uncorrected formation energy is -2421 meV per atom. The energy above the most stable polymorph in this dataset comes out at 0.84 kcal/mol of atoms. The calculation puts the calculated density at 6.16 Mg/m³. The calculation puts the total energy at -17.126 eV per atom.

Cell and atoms, written as POSCAR:
```
Ca3Fe2W2O12
1.0
2.659 1.535 8.718
-2.659 1.535 8.718
0.000 -3.070 8.718
Ca Fe W O
3 2 2 12
direct
0.000 0.000 0.000
0.242 0.242 0.242
0.490 0.490 0.490
0.372 0.372 0.372
0.870 0.870 0.870
0.119 0.119 0.119
0.623 0.623 0.623
0.001 0.001 0.494
0.001 0.494 0.001
0.006 0.490 0.490
0.241 0.748 0.748
0.248 0.248 0.740
0.248 0.740 0.248
0.490 0.006 0.490
0.490 0.490 0.006
0.494 0.001 0.001
0.740 0.248 0.248
0.748 0.241 0.748
0.748 0.748 0.241
```

***

Record 11
The following is a DFT calculation (meta-GGA SCAN) of a crystal of HgAsW relaxed with PBEsol.

Calculated values
For the density of states at the Fermi level, the calculation gives 3.04 states/eV per cell. The energy above the most stable polymorph in this dataset comes out at 0.00 kcal/mol of atoms. The calculation puts the formation energy at 140 kJ/mol of formula units. The calculation puts the calculated density at 13.73 Mg/m³. The calculation puts the total energy at -52.200 eV per atom.

Cell and atoms, written as POSCAR:
```
HgAsW
1.0
3.098 0.000 0.000
-1.549 2.683 0.000
0.000 0.000 6.683
Hg As W
1 1 1
direct
0.000 0.000 0.000
0.667 0.333 0.390
0.333 0.667 0.651
```

***

Record 12
The following is a DFT calculation (meta-GGA SCAN) of a crystal of Cu2HgPOs relaxed with PBEsol.

Calculated values
For the density of states at the Fermi level, the calculation gives 2.22 states/eV per cell. The calculation puts the formation energy at 972 kJ/mol of formula units. The calculation puts the calculated density at 9.14 Mg/m³. The calculation puts the total energy at -34.155 eV per atom.

Cell and atoms, written as POSCAR:
```
Cu2HgPOs
1.0
4.597 0.000 0.000
0.000 4.597 0.000
0.000 0.000 4.717
Cu Hg P Os
2 1 1 1
direct
0.000 0.500 0.000
0.500 0.000 0.000
0.000 0.000 0.000
0.000 0.000 0.500
0.500 0.500 0.500
```